[1]
DFT (GGA-PBE) results for Ce4Cd5Ir2 after structural relaxation. Values from VASP.

Summary:
* DFT formation energy: -0.4010 eV/atom
* space-group type: P2/m (10)

```
&SYSTEM
  ibrav = 0, nat = 11, ntyp = 3
/
ATOMIC_SPECIES
Ce 140.12 Ce.upf
Cd 112.41 Cd.upf
Ir 192.22 Ir.upf
ATOMIC_POSITIONS crystal
Ce 0.5000 0.7832 0.5535
Ce 0.5000 0.1689 0.8497
Ce 0.5000 0.2168 0.4465
Ce 0.5000 0.8311 0.1503
Cd 0.0000 0.5413 0.3210
Cd 0.0000 0.1881 0.1493
Cd 0.0000 0.5000 0.0000
Cd 0.0000 0.8119 0.8507
Cd 0.0000 0.4587 0.6790
Ir 0.0000 0.0779 0.6443
Ir 0.0000 0.9221 0.3557
CELL_PARAMETERS angstrom
-1.9277 -2.9673 -0.9587
6.1109 -2.6385 -4.1212
2.7222 -4.4371 8.2597
```


[2]
DFT (GGA-PBE) results for LaCeCdIr after structural relaxation. Values from VASP.

Summary:
* DFT formation energy: -0.3551 eV/atom
* space-group type: F-43m (216)

```
&SYSTEM
  ibrav = 0, nat = 4, ntyp = 4
/
ATOMIC_SPECIES
Cd 112.41 Cd.upf
Ir 192.22 Ir.upf
Ce 140.12 Ce.upf
La 138.91 La.upf
ATOMIC_POSITIONS crystal
Cd 0.7500 0.7500 0.7500
Ir 0.2500 0.2500 0.2500
Ce 0.5000 0.5000 0.5000
La 0.0000 0.0000 0.0000
CELL_PARAMETERS angstrom
-0.7630 5.0621 -1.0163
-4.7325 2.1057 0.6398
-0.8602 3.3463 3.9118
```


[3]
DFT (GGA-PBE) results for LiCeCdIr after structural relaxation. Values from VASP.

Summary:
* DFT formation energy: -0.3149 eV/atom
* space-group type: F-43m (216)

```
&SYSTEM
  ibrav = 0, nat = 4, ntyp = 4
/
ATOMIC_SPECIES
Ir 192.22 Ir.upf
Li 6.94 Li.upf
Ce 140.12 Ce.upf
Cd 112.41 Cd.upf
ATOMIC_POSITIONS crystal
Ir 0.7500 0.7500 0.7500
Li 0.2500 0.2500 0.2500
Ce 0.0000 0.0000 0.0000
Cd 0.5000 0.5000 0.5000
CELL_PARAMETERS angstrom
-3.2113 -0.7050 -3.5098
-3.0561 -3.7051 0.2457
-4.6725 0.7874 0.8222
```


[4]
DFT (GGA-PBE) results for Ce6Cd2IrN after structural relaxation. Values from VASP.

Summary:
* space-group type: Fm-3m (225)
* raw formation energy: -0.393 eV per atom

```
&SYSTEM
  ibrav = 0, nat = 10, ntyp = 4
/
ATOMIC_SPECIES
Ce 140.12 Ce.upf
Cd 112.41 Cd.upf
Ir 192.22 Ir.upf
N 14.01 N.upf
ATOMIC_POSITIONS crystal
Ce 0.2330 0.2330 0.5342
Ce 0.7672 0.7668 0.0001
Ce 0.2332 0.7672 0.0000
Ce 0.7668 0.2327 0.0000
Ce 0.2328 0.2332 0.9999
Ce 0.7670 0.7670 0.4658
Cd 0.7501 0.2500 0.4999
Cd 0.2499 0.7500 0.5001
Ir 0.5000 0.5000 0.0000
N 0.0000 0.0000 0.0000
CELL_PARAMETERS angstrom
7.3182 0.0005 -0.0020
0.0004 7.3178 -0.0021
3.6578 3.6577 5.1742
```


[5]
DFT (GGA-PBE) results for CeCd2IrO8 after structural relaxation. Values from VASP.

Summary:
* space-group type: P2/m (10)
* raw formation energy: -1.292 eV per atom

```
&SYSTEM
  ibrav = 0, nat = 12, ntyp = 4
/
ATOMIC_SPECIES
Ce 140.12 Ce.upf
Cd 112.41 Cd.upf
Ir 192.22 Ir.upf
O 16.00 O.upf
ATOMIC_POSITIONS crystal
Ce 0.0000 0.0000 0.5000
Cd 0.5000 0.5000 0.7550
Cd 0.5000 0.5000 0.2450
Ir 0.0000 0.0000 0.0000
O 0.1747 0.8201 0.2085
O 0.7269 0.7315 0.0000
O 0.8253 0.1799 0.2085
O 0.8253 0.1799 0.7915
O 0.2731 0.2685 0.0000
O 0.1747 0.8201 0.7915
O 0.7023 0.7052 0.5000
O 0.2977 0.2948 0.5000
CELL_PARAMETERS angstrom
-2.8099 -1.6573 -3.8451
1.9094 -4.5540 0.8771
-5.1018 -1.3122 4.2938
```


[6]
DFT (GGA-PBE) results for CeCdIrPd after structural relaxation. Values from VASP.

Summary:
* DFT formation energy: -0.4726 eV/atom
* space-group type: F-43m (216)

```
&SYSTEM
  ibrav = 0, nat = 4, ntyp = 4
/
ATOMIC_SPECIES
Ir 192.22 Ir.upf
Pd 106.42 Pd.upf
Ce 140.12 Ce.upf
Cd 112.41 Cd.upf
ATOMIC_POSITIONS crystal
Ir 0.7500 0.7500 0.7500
Pd 0.2500 0.2500 0.2500
Ce 0.5000 0.5000 0.5000
Cd 0.0000 0.0000 0.0000
CELL_PARAMETERS angstrom
-4.7431 -0.4726 0.6694
-2.3341 -3.7618 -1.8891
-1.6909 -3.4726 2.8723
```